Ir2PbS2 | PBE | relaxed

Raw formation energy (kJ/mol of atoms): 48.1
Space-group type: P4/mbm
Polymorph energy (0 for the lowest one) (meV/atom): 414
Density of states at the Fermi level (states/eV per cell): 6.618
Calculated total energy (eV for the cell shown): -54.39

```
data_Ir2PbS2
_chemical_formula_sum 'Ir4 Pb2 S4'
_cell_length_a 7.680
_cell_length_b 7.680
_cell_length_c 3.054
_cell_angle_alpha 90.00
_cell_angle_beta 90.00
_cell_angle_gamma 90.00
_symmetry_space_group_name_H-M 'P 1'
_symmetry_Int_Tables_number 1
_symmetry_space_group_name_Hall 'P 1'
loop_
_atom_site_label
_atom_site_type_symbol
_atom_site_fract_x
_atom_site_fract_y
_atom_site_fract_z
Pb1 Pb 0.000 0.000 0.000
Pb2 Pb 0.500 0.500 0.000
S1 S 0.136 0.636 0.500
S2 S 0.636 0.864 0.500
S3 S 0.864 0.364 0.500
S4 S 0.364 0.136 0.500
Ir1 Ir 0.377 0.877 0.000
Ir2 Ir 0.877 0.623 0.000
Ir3 Ir 0.623 0.123 0.000
Ir4 Ir 0.123 0.377 0.000
```